Record 1
Entry from the Alexandria database: a relaxed GaSi2HS crystal (PBE).

a b c (Å): 3.888 3.888 8.550
angles (deg): 90.00 90.00 120.00
Positions (direct):
Si (0.667, 0.333, 0.906)
Si (0.000, 0.000, 0.992)
Ga (0.333, 0.667, 0.485)
S (0.667, 0.333, 0.652)
H (0.000, 0.000, 0.168)

Results
excess energy over the best structure of this formula in the dataset	124.7	meV per atom



Record 2
Entry from the Alexandria database: a relaxed PrSBr crystal (PBE).

a b c (Å): 6.999 7.153 14.002
angles (deg): 90.00 90.00 90.00
Positions (direct):
Br (0.648, 0.387, 0.709)
Br (0.352, 0.113, 0.209)
Pr (0.757, 0.032, 0.593)
Br (0.352, 0.613, 0.291)
Br (0.852, 0.887, 0.291)
Pr (0.257, 0.968, 0.907)
S (0.501, 0.742, 0.023)
Pr (0.257, 0.468, 0.593)
Pr (0.743, 0.032, 0.093)
Br (0.148, 0.613, 0.791)
S (0.001, 0.258, 0.477)
Pr (0.757, 0.532, 0.907)
Br (0.148, 0.113, 0.709)
Pr (0.243, 0.968, 0.407)
Pr (0.743, 0.532, 0.407)
S (0.999, 0.742, 0.523)
S (0.499, 0.258, 0.977)
Br (0.648, 0.887, 0.791)
S (0.001, 0.758, 0.023)
S (0.999, 0.242, 0.977)
Pr (0.243, 0.468, 0.093)
Br (0.852, 0.387, 0.209)
S (0.501, 0.242, 0.477)
S (0.499, 0.758, 0.523)

Results
raw formation energy	-2001	meV/atom



Record 3
Entry from the Alexandria database: a relaxed RbReP2O crystal (PBE).

a b c (Å): 4.881 4.881 3.917
angles (deg): 90.00 90.00 90.00
Positions (direct):
Rb (0.500, 0.500, 0.500)
P (0.000, 0.500, 0.000)
Re (0.000, 0.000, 0.000)
P (0.500, 0.000, 0.000)
O (0.000, 0.000, 0.500)

Results
raw formation energy	-165	meV/atom
excess energy over the best structure of this formula in the dataset	0.0	meV per atom



Record 4
Entry from the Alexandria database: a relaxed Cd6Sb3As crystal (PBE).

a b c (Å): 7.005 9.314 9.314
angles (deg): 99.14 90.00 90.00
Positions (direct):
Sb (0.473, 0.333, 0.096)
Cd (0.712, 0.354, 0.358)
Cd (0.104, 0.403, 0.978)
As (0.484, 0.865, 0.135)
Sb (0.973, 0.096, 0.333)
Cd (0.604, 0.597, 0.022)
Cd (0.104, 0.022, 0.597)
Cd (0.124, 0.797, 0.203)
Sb (0.473, 0.904, 0.667)
Cd (0.624, 0.203, 0.797)
As (0.984, 0.135, 0.865)
Cd (0.212, 0.358, 0.354)
Cd (0.212, 0.646, 0.642)
Sb (0.967, 0.613, 0.387)
Cd (0.604, 0.978, 0.403)
Sb (0.467, 0.387, 0.613)
Cd (0.712, 0.642, 0.646)
Sb (0.973, 0.667, 0.904)
Cd (0.333, 0.037, 0.963)
Cd (0.833, 0.963, 0.037)

Results
raw formation energy	-9	meV/atom



Record 5
Entry from the Alexandria database: a relaxed PmTaCo4 crystal (PBE).

a b c (Å): 4.939 4.939 4.939
angles (deg): 60.00 60.00 60.00
Last column: magnetic moment on the atom in μB.
Positions (direct):
Co (0.624, 0.624, 0.624)  0.66
Co (0.624, 0.127, 0.624)  0.66
Co (0.127, 0.624, 0.624)  0.66
Co (0.624, 0.624, 0.127)  0.66
Ta (0.250, 0.250, 0.250)  -0.29
Pm (0.000, 0.000, 0.000)  -0.12

Results
ΔH_f (0 K)	30	meV/atom



Record 6
Entry from the Alexandria database: a relaxed ZnSb2RuC crystal (PBE).

a b c (Å): 4.941 3.894 4.941
angles (deg): 90.00 90.00 90.00
Positions (direct):
Zn (0.500, 0.500, 0.500)
Ru (0.000, 0.500, 0.000)
Sb (0.500, 0.000, 0.000)
C (0.000, 0.000, 0.000)
Sb (0.000, 0.000, 0.500)

Results
raw formation energy	790	meV/atom



Record 7
Entry from the Alexandria database: a relaxed CePmPuIr crystal (PBE).

a b c (Å): 5.113 5.113 5.113
angles (deg): 60.00 60.00 60.00
Last column: magnetic moment on the atom in μB.
Positions (direct):
Ir (0.500, 0.500, 0.500)  -0.09
Pm (0.750, 0.750, 0.750)  0.27
Ce (0.250, 0.250, 0.250)  0.97
Pu (0.000, 0.000, 0.000)  5.75

Results
ΔH_f (0 K)	-98	meV/atom



Record 8
Entry from the Alexandria database: a relaxed Cs2CePbSe4 crystal (PBE).

a b c (Å): 4.453 8.669 7.726
angles (deg): 73.06 90.00 90.00
Positions (direct):
Pb (0.500, 0.500, 0.000)
Se (0.500, 0.686, 0.289)
Se (0.500, 0.314, 0.711)
Cs (0.000, 0.000, 0.000)
Cs (0.500, 0.000, 0.500)
Se (0.000, 0.690, 0.745)
Ce (0.000, 0.500, 0.500)
Se (0.000, 0.310, 0.255)

Results
raw formation energy	-1274	meV/atom



Record 9
Entry from the Alexandria database: a relaxed RbTlSb crystal (PBE).

a b c (Å): 3.909 3.909 7.644
angles (deg): 104.82 104.82 90.00
Positions (direct):
Sb (0.686, 0.686, 0.373)
Tl (0.309, 0.309, 0.618)
Rb (0.005, 0.005, 0.009)

Results
raw formation energy	-185	meV/atom
excess energy over the best structure of this formula in the dataset	103.5	meV per atom



Record 10
Entry from the Alexandria database: a relaxed CrGeOs crystal (PBE).

a b c (Å): 5.041 4.079 8.920
angles (deg): 90.00 117.42 90.00
Positions (direct):
Cr (0.268, 0.000, 0.510)
Ge (0.382, 0.000, 0.833)
Cr (0.268, 0.500, 0.010)
Os (0.882, 0.500, 0.334)
Ge (0.618, 0.500, 0.667)
Cr (0.732, 0.500, 0.990)
Ge (0.618, 0.000, 0.167)
Ge (0.382, 0.500, 0.333)
Os (0.118, 0.000, 0.166)
Cr (0.732, 0.000, 0.490)
Os (0.882, 0.000, 0.834)
Os (0.118, 0.500, 0.666)

Results
ΔH_f (0 K)	113	meV/atom



Record 11
Entry from the Alexandria database: a relaxed NaBi2S crystal (PBE).

a b c (Å): 9.903 9.903 7.482
angles (deg): 48.56 48.56 90.00
Positions (direct):
S (0.750, 0.250, 0.500)
Bi (0.030, 0.625, 0.250)
Bi (0.875, 0.970, 0.750)
Bi (0.375, 0.280, 0.750)
Na (0.250, 0.750, 0.500)
Bi (0.720, 0.125, 0.250)
Na (0.500, 0.500, 0.000)
S (0.000, 0.000, 0.000)

Results
raw formation energy	-119	meV/atom



Record 12
Entry from the Alexandria database: a relaxed CdH3SI3 crystal (PBE).

a b c (Å): 8.907 7.728 8.007
angles (deg): 87.81 90.00 89.99
Positions (direct):
H (0.226, 0.496, 0.459)
S (0.360, 0.587, 0.451)
I (0.615, 0.934, 0.297)
S (0.089, 0.587, 0.950)
H (0.401, 0.532, 0.291)
Cd (0.879, 0.807, 0.463)
H (0.224, 0.496, 0.959)
I (0.506, 0.452, 0.018)
I (0.130, 0.960, 0.305)
H (0.049, 0.532, 0.791)
Cd (0.571, 0.807, 0.963)
I (0.320, 0.960, 0.805)
H (0.279, 0.740, 0.389)
I (0.835, 0.934, 0.797)
I (0.944, 0.452, 0.518)
H (0.170, 0.740, 0.889)

Results
DFT total energy	-2.77	eV/atom